(1)
Computed, not measured: a crystal of ZnReHg2 relaxed with PBEsol at the meta-GGA SCAN level of DFT.

Properties
Energy of formation from the pure elements (kJ/mol of atoms): 61
Density of states at the Fermi level (states/eV/f.u.): 1.953
Theoretical density (g cm⁻³): 15.8

Unit cell a=2.932 b=2.932 c=9.359 alpha=80.99 beta=80.99 gamma=60.00
Atoms (fractional coordinates):
Hg1 0.252 0.252 0.244
Hg2 0.748 0.748 0.756
Re1 0.500 0.500 0.500
Zn1 0.000 0.000 0.000

---

(2)
Computed, not measured: a crystal of ZrRe3Hg relaxed with PBEsol at the meta-GGA SCAN level of DFT.

Properties
Energy of formation from the pure elements (kJ/mol of atoms): 262
Density of states at the Fermi level (states/eV/f.u.): 3.360
Theoretical density (g cm⁻³): 13.3

Unit cell a=4.731 b=4.731 c=4.731 alpha=90.00 beta=90.00 gamma=90.00
Atoms (fractional coordinates):
Re1 0.000 0.500 0.000
Re2 0.000 0.000 0.500
Re3 0.500 0.000 0.000
Hg1 0.500 0.500 0.500
Zr1 0.000 0.000 0.000